[1]
# NdHo2Cu2 | Alexandria via LeMat-Bulk | PBE | optimized geometry
# - ΔH_f (0 K) (meV/atom) = -119
# - crystal system = monoclinic
data_NdHo2Cu2
_chemical_formula_sum 'Nd2 Ho4 Cu4'
_space_group_name_H-M_alt 'P 1'
_space_group_IT_number 1
_space_group_name_Hall 'P 1'
_cell_length_a 4.6457
_cell_length_b 4.9861
_cell_length_c 10.7599
_cell_angle_alpha 96.58
_cell_angle_beta 90.00
_cell_angle_gamma 90.00
loop_
_atom_site_label
_atom_site_fract_x
_atom_site_fract_y
_atom_site_fract_z
Nd1 0.2500 0.6917 0.2434
Nd2 0.7500 0.3083 0.7566
Ho1 0.2500 0.8449 0.8864
Ho2 0.7500 0.1551 0.1136
Ho3 0.2500 0.2505 0.5043
Ho4 0.7500 0.7495 0.4957
Cu1 0.2500 0.7832 0.6341
Cu2 0.7500 0.2168 0.3659
Cu3 0.2500 0.3741 0.9942
Cu4 0.7500 0.6259 0.0058



[2]
# NdHo3Cu2 | Alexandria via LeMat-Bulk | PBE | optimized geometry
# - relative energy among the computed polymorphs (meV per atom) = 0
# - ΔH_f (0 K) (meV/atom) = -162
# - crystal system = tetragonal
data_NdHo3Cu2
_chemical_formula_sum 'Nd1 Ho3 Cu2'
_space_group_name_H-M_alt 'P 1'
_space_group_IT_number 1
_space_group_name_Hall 'P 1'
_cell_length_a 3.4833
_cell_length_b 3.4833
_cell_length_c 12.2071
_cell_angle_alpha 90.00
_cell_angle_beta 90.00
_cell_angle_gamma 90.00
loop_
_atom_site_label
_atom_site_fract_x
_atom_site_fract_y
_atom_site_fract_z
Nd1 0.5000 0.5000 0.5000
Ho1 0.0000 0.0000 0.0000
Ho2 0.0000 0.0000 0.7221
Ho3 0.0000 0.0000 0.2779
Cu1 0.5000 0.5000 0.8588
Cu2 0.5000 0.5000 0.1412



[3]
# NdHo4Cu | Alexandria via LeMat-Bulk | PBE | optimized geometry
# - ΔH_f (0 K) (meV/atom) = -53
# - crystal system = tetragonal
data_NdHo4Cu
_chemical_formula_sum 'Nd1 Ho4 Cu1'
_space_group_name_H-M_alt 'P 1'
_space_group_IT_number 1
_space_group_name_Hall 'P 1'
_cell_length_a 3.5246
_cell_length_b 3.5246
_cell_length_c 13.6732
_cell_angle_alpha 90.00
_cell_angle_beta 90.00
_cell_angle_gamma 90.00
loop_
_atom_site_label
_atom_site_fract_x
_atom_site_fract_y
_atom_site_fract_z
Nd1 0.0000 0.0000 0.0000
Ho1 0.5000 0.5000 0.1885
Ho2 0.0000 0.0000 0.6227
Ho3 0.0000 0.0000 0.3773
Ho4 0.5000 0.5000 0.8115
Cu1 0.5000 0.5000 0.5000



[4]
# Nd2Ho3Cu2 | Alexandria via LeMat-Bulk | PBE | optimized geometry
# - ΔH_f (0 K) (meV/atom) = -113
# - crystal system = monoclinic
data_Nd2Ho3Cu2
_chemical_formula_sum 'Nd2 Ho3 Cu2'
_space_group_name_H-M_alt 'P 1'
_space_group_IT_number 1
_space_group_name_Hall 'P 1'
_cell_length_a 3.6393
_cell_length_b 6.5989
_cell_length_c 9.1160
_cell_angle_alpha 116.41
_cell_angle_beta 90.00
_cell_angle_gamma 106.01
loop_
_atom_site_label
_atom_site_fract_x
_atom_site_fract_y
_atom_site_fract_z
Nd1 0.8444 0.6889 0.1875
Nd2 0.1556 0.3111 0.8125
Ho1 0.5000 0.0000 0.0000
Ho2 0.6155 0.2309 0.4443
Ho3 0.3845 0.7691 0.5557
Cu1 0.8352 0.6703 0.7654
Cu2 0.1648 0.3297 0.2346



[5]
# NdHoCu | Alexandria via LeMat-Bulk | PBE | optimized geometry
# - relative energy among the computed polymorphs (meV per atom) = 205
# - ΔH_f (0 K) (meV/atom) = 87
# - crystal system = cubic
data_NdHoCu
_chemical_formula_sum 'Nd1 Ho1 Cu1'
_space_group_name_H-M_alt 'P 1'
_space_group_IT_number 1
_space_group_name_Hall 'P 1'
_cell_length_a 4.9107
_cell_length_b 4.9107
_cell_length_c 4.9107
_cell_angle_alpha 60.00
_cell_angle_beta 60.00
_cell_angle_gamma 60.00
loop_
_atom_site_label
_atom_site_fract_x
_atom_site_fract_y
_atom_site_fract_z
Nd1 0.5000 0.5000 0.5000
Ho1 0.0000 0.0000 0.0000
Cu1 0.2500 0.2500 0.2500



[6]
# Nd4HoCu5 | Alexandria via LeMat-Bulk | PBE | optimized geometry
# - ΔH_f (0 K) (meV/atom) = -165
# - crystal system = tetragonal
data_Nd4HoCu5
_chemical_formula_sum 'Nd4 Ho1 Cu5'
_space_group_name_H-M_alt 'P 1'
_space_group_IT_number 1
_space_group_name_Hall 'P 1'
_cell_length_a 3.5438
_cell_length_b 3.5438
_cell_length_c 18.0132
_cell_angle_alpha 90.00
_cell_angle_beta 90.00
_cell_angle_gamma 90.00
loop_
_atom_site_label
_atom_site_fract_x
_atom_site_fract_y
_atom_site_fract_z
Nd1 0.0000 0.0000 0.1955
Nd2 0.0000 0.0000 0.3988
Nd3 0.0000 0.0000 0.6012
Nd4 0.0000 0.0000 0.8045
Ho1 0.0000 0.0000 0.0000
Cu1 0.5000 0.5000 0.0898
Cu2 0.5000 0.5000 0.2980
Cu3 0.5000 0.5000 0.5000
Cu4 0.5000 0.5000 0.7020
Cu5 0.5000 0.5000 0.9102